# AsPdRh2

A relaxed structure of AsPdRh2 (GGA-PBE, Alexandria).

Cell: 3.751 3.751 9.509 Å, 78.62 78.62 90.00°
Fractional positions:
As (0.500, 0.500, 0.000)
As (0.250, 0.750, 0.500)
Rh (0.624, 0.125, 0.250)
Rh (0.126, 0.625, 0.250)
Rh (0.375, 0.376, 0.750)
Rh (0.875, 0.874, 0.750)
Pd (0.000, 0.000, 0.000)
Pd (0.750, 0.250, 0.500)

Results
Calculated density ... 10.01 g/cm3
Energy relative to the elements ... 0.6 eV/f.u.

***

# AsPdRh

A relaxed structure of AsPdRh (GGA-PBE, Alexandria).

Cell: 4.118 4.118 4.118 Å, 60.00 60.00 60.00°
Fractional positions:
As (0.250, 0.250, 0.250)
Rh (0.000, 0.000, 0.000)
Pd (0.500, 0.500, 0.500)

Results
Calculated density ... 9.56 g/cm3
Energy relative to the elements ... -1.2 eV/f.u.

***

# AsPd2Rh

A relaxed structure of AsPd2Rh (GGA-PBE, Alexandria).

Cell: 3.718 3.718 9.750 Å, 79.01 79.01 90.00°
Fractional positions:
As (0.500, 0.500, 0.000)
As (0.250, 0.750, 0.500)
Rh (0.000, 0.000, 0.000)
Rh (0.750, 0.250, 0.500)
Pd (0.623, 0.125, 0.250)
Pd (0.127, 0.625, 0.250)
Pd (0.375, 0.377, 0.750)
Pd (0.875, 0.873, 0.750)

Results
Calculated density ... 10.00 g/cm3
Energy relative to the elements ... 0.1 eV/f.u.

***

# AsPdRh

A relaxed structure of AsPdRh (GGA-PBE, Alexandria).

Cell: 3.735 6.510 6.509 Å, 120.00 90.00 90.00°
Fractional positions:
As (0.000, 0.333, 0.667)
As (0.000, 0.667, 0.333)
As (0.500, 0.000, 0.000)
Pd (0.500, 0.397, 0.397)
Pd (0.500, 0.000, 0.603)
Pd (0.500, 0.603, 0.000)
Rh (0.000, 0.736, 0.736)
Rh (0.000, 0.000, 0.264)
Rh (0.000, 0.264, 0.000)

Results
Calculated density ... 10.33 g/cm3
Energy relative to the elements ... -1.4 eV/f.u.

***

# AsPd3Rh

A relaxed structure of AsPd3Rh (GGA-PBE, Alexandria).

Cell: 4.593 4.593 4.593 Å, 90.00 90.00 90.00°
Fractional positions:
As (0.000, 0.000, 0.000)
Rh (0.500, 0.500, 0.500)
Pd (0.000, 0.500, 0.000)
Pd (0.000, 0.000, 0.500)
Pd (0.500, 0.000, 0.000)

Results
Calculated density ... 8.52 g/cm3
Energy relative to the elements ... 2.7 eV/f.u.
ΔE to the lowest computed polymorph ... 0 meV per atom

***

# AsPd3Rh

A relaxed structure of AsPd3Rh (GGA-PBE, Alexandria).

Cell: 4.789 4.789 4.789 Å, 90.00 90.00 90.00°
Fractional positions:
As (0.500, 0.500, 0.500)
Rh (0.000, 0.000, 0.000)
Pd (0.000, 0.500, 0.000)
Pd (0.000, 0.000, 0.500)
Pd (0.500, 0.000, 0.000)

Results
Calculated density ... 7.51 g/cm3
Energy relative to the elements ... 5.9 eV/f.u.
ΔE to the lowest computed polymorph ... 627 meV per atom

***

# As2PdRhSe

A relaxed structure of As2PdRhSe (GGA-PBE, Alexandria).

Cell: 4.655 4.655 5.125 Å, 90.00 90.00 90.00°
Fractional positions:
As (0.000, 0.500, 0.000)
As (0.500, 0.000, 0.000)
Rh (0.000, 0.000, 0.000)
Se (0.000, 0.000, 0.500)
Pd (0.500, 0.500, 0.500)

Results
Calculated density ... 6.55 g/cm3
Raw formation energy ... 2.681 eV per formula unit
ΔE to the lowest computed polymorph ... 0 meV per atom

***

# Si2AsPdRh

A relaxed structure of Si2AsPdRh (GGA-PBE, Alexandria).

Cell: 4.490 4.995 4.490 Å, 90.00 90.00 90.00°
Fractional positions:
As (0.000, 0.500, 0.000)
Rh (0.000, 0.000, 0.000)
Si (0.000, 0.000, 0.500)
Si (0.500, 0.000, 0.000)
Pd (0.500, 0.500, 0.500)

Results
Calculated density ... 5.61 g/cm3
Raw formation energy ... 2.288 eV per formula unit

***

Calculated volume list, top to bottom, in Å³/atom: 16.06 16.46 16.22 15.23 19.38 21.97 22.21 20.14
DOS(E_F) list, top to bottom, in states/eV/cell: 10.74 1.58 4.13 2.34 8.84 6.81 3.98 3.56
Raw total energy list, top to bottom, in eV per atom: -5.998 -6.117 -5.582 -6.185 -4.968 -4.342 -4.529 -5.150